A relaxed Tm8FeBi2 crystal, computed with PBE.

**Energy relative to the elements**: -2.27 eV/f.u.
**D(E_F)**: 9.47 states/eV/f.u.
**Total energy**: -4.933 eV per atom
**Calculated density**: 10.0 Mg/m³

a b c (Å): 9.050 9.050 6.687
angles (deg): 104.19 104.19 34.87
Atoms (fractional coordinates):
Tm 0.009 0.009 0.235
Tm 0.202 0.202 0.075
Tm 0.364 0.364 0.726
Tm 0.410 0.410 0.256
Tm 0.590 0.590 0.744
Tm 0.636 0.636 0.274
Tm 0.798 0.798 0.925
Tm 0.991 0.991 0.765
Fe 0.500 0.500 0.000
Bi 0.168 0.168 0.588
Bi 0.832 0.832 0.412

---

A relaxed Tm5FeBi4 crystal, computed with PBE.

**Energy relative to the elements**: -4.26 eV/f.u.
**D(E_F)**: 7.17 states/eV/f.u.
**Total energy**: -5.061 eV per atom
**Calculated density**: 10.0 Mg/m³

a b c (Å): 7.486 7.486 7.486
angles (deg): 99.96 99.96 130.85
Atoms (fractional coordinates):
Tm 0.000 0.000 0.000
Tm 0.385 0.757 0.813
Tm 0.572 0.385 0.628
Tm 0.757 0.944 0.372
Tm 0.944 0.572 0.187
Fe 0.553 0.553 0.000
Bi 0.082 0.878 0.620
Bi 0.258 0.462 0.380
Bi 0.462 0.082 0.204
Bi 0.878 0.258 0.796

---

A relaxed Tm4FeBi2 crystal, computed with PBE.

**Energy relative to the elements**: -2.60 eV/f.u.
**D(E_F)**: 4.21 states/eV/f.u.
**Total energy**: -5.244 eV per atom
**Calculated density**: 9.6 Mg/m³

a b c (Å): 7.873 11.868 4.249
angles (deg): 90.00 90.00 90.00
Atoms (fractional coordinates):
Tm 0.125 0.189 0.000
Tm 0.203 0.940 0.500
Tm 0.297 0.440 0.500
Tm 0.375 0.689 0.000
Tm 0.625 0.311 0.000
Tm 0.703 0.560 0.500
Tm 0.797 0.060 0.500
Tm 0.875 0.811 0.000
Fe 0.000 0.000 0.000
Fe 0.500 0.500 0.000
Bi 0.079 0.670 0.500
Bi 0.421 0.170 0.500
Bi 0.579 0.830 0.500
Bi 0.921 0.330 0.500